Computed, not measured: Ho2Zn3Cd after structural relaxation at the PBE-GGA level of DFT.

```
Ho2Zn3Cd
1.0
3.6739 0.0000 0.0000
0.0000 4.4941 0.0000
0.0000 0.0000 15.9910
Ho Zn Cd
4 6 2
Direct
0.0000 0.0000 0.0000 Ho
0.0000 0.5000 0.2760 Ho
0.5000 0.0000 0.7760 Ho
0.5000 0.5000 0.5000 Ho
0.0000 0.0000 0.4355 Zn
0.0000 0.5000 0.6839 Zn
0.0000 0.5000 0.8376 Zn
0.5000 0.0000 0.1839 Zn
0.5000 0.0000 0.3376 Zn
0.5000 0.5000 0.9355 Zn
0.0000 0.0000 0.6001 Cd
0.5000 0.5000 0.1001 Cd
```

Properties
DOS at the Fermi energy, states/eV/cell: 10.24
SG: No. 44
Energy relative to the elements, kcal/mol of atoms: -5.81


Computed, not measured: PuZrIrOs after structural relaxation at the PBE-GGA level of DFT.

```
PuZrIrOs
1.0
6.7086 0.0000 0.0000
0.0000 6.7086 0.0000
0.0000 0.0000 6.7086
Pu Zr Ir Os
4 4 4 4
Direct
0.0000 0.0000 0.0000 Pu
0.0000 0.5000 0.5000 Pu
0.5000 0.0000 0.5000 Pu
0.5000 0.5000 0.0000 Pu
0.0000 0.0000 0.5000 Zr
0.0000 0.5000 0.0000 Zr
0.5000 0.0000 0.0000 Zr
0.5000 0.5000 0.5000 Zr
0.2500 0.2500 0.7500 Ir
0.2500 0.7500 0.2500 Ir
0.7500 0.2500 0.2500 Ir
0.7500 0.7500 0.7500 Ir
0.2500 0.2500 0.2500 Os
0.2500 0.7500 0.7500 Os
0.7500 0.2500 0.7500 Os
0.7500 0.7500 0.2500 Os
```

Properties
DOS at the Fermi energy, states/eV/cell: 26.53
SG: No. 216
Energy relative to the elements, kcal/mol of atoms: -7.71